7
Lattice="5.807 0.000 0.000 -2.903 5.029 0.000 0.000 0.000 4.963" Properties=species:S:1:pos:R:3 comment="Mg3As4 (PBE, relaxed)" final_energy_ev_per_cell=-22.56 volume_a3_per_atom=20.7 m_tot_mub_per_fu=0.000 sg="No. 191" delta_e_f_mev_per_atom=118 de_polymorph_ev_per_atom=0.260 pbc="T T T"
Mg -1.452 2.514 0.000
Mg 2.903 0.000 0.000
Mg 1.452 2.514 0.000
As 0.000 0.000 1.244
As 0.000 0.000 3.720
As 0.000 3.352 2.482
As 2.903 1.676 2.482

---

10
Lattice="6.221 0.000 0.000 0.000 6.221 0.000 0.000 0.000 6.221" Properties=species:S:1:pos:R:3 comment="Mg3As2 (PBE, relaxed)" final_energy_ev_per_cell=-32.85 volume_a3_per_atom=24.1 m_tot_mub_per_fu=0.000 sg="No. 224" delta_e_f_mev_per_atom=-468 de_polymorph_ev_per_atom=0.165 pbc="T T T"
Mg 1.555 1.555 4.666
Mg 1.555 4.666 1.555
Mg 1.555 4.666 4.666
Mg 4.666 1.555 1.555
Mg 4.666 1.555 4.666
Mg 4.666 4.666 1.555
As 0.000 0.000 0.000
As 0.000 3.111 3.111
As 3.111 0.000 3.111
As 3.111 3.111 0.000

---

6
Lattice="2.891 0.000 0.000 0.000 2.891 0.000 0.000 0.000 15.198" Properties=species:S:1:pos:R:3 comment="MgAs2 (PBE, relaxed)" final_energy_ev_per_cell=-21.94 volume_a3_per_atom=21.2 m_tot_mub_per_fu=0.000 sg="No. 139" delta_e_f_mev_per_atom=-25 pbc="T T T"
Mg 0.000 0.000 0.000
Mg 1.445 1.445 7.599
As 0.000 0.000 5.538
As 0.000 0.000 9.661
As 1.445 1.445 2.061
As 1.445 1.445 13.137

---

9
Lattice="-4.718 4.718 2.129 4.718 -4.718 2.129 4.718 4.718 -2.129" Properties=species:S:1:pos:R:3 comment="Mg5As4 (PBE, relaxed)" final_energy_ev_per_cell=-28.29 volume_a3_per_atom=21.1 m_tot_mub_per_fu=0.000 sg="No. 139" delta_e_f_mev_per_atom=-191 de_polymorph_ev_per_atom=0.203 pbc="T T T"
Mg 0.000 0.000 0.000
Mg 3.093 3.093 0.000
Mg 1.625 -1.625 2.129
Mg -1.625 1.625 2.129
Mg 1.625 1.625 2.129
As 2.672 0.000 0.000
As 6.764 0.000 0.000
As 0.000 2.672 0.000
As 0.000 6.764 0.000

---

8
Lattice="5.509 0.000 0.000 0.000 5.681 0.000 0.000 0.000 5.165" Properties=species:S:1:pos:R:3 comment="MgAs3 (PBE, relaxed)" final_energy_ev_per_cell=-31.64 volume_a3_per_atom=20.2 m_tot_mub_per_fu=0.000 sg="No. 65" delta_e_f_mev_per_atom=-69 pbc="T T T"
Mg 0.000 0.000 0.000
Mg 2.755 2.841 0.000
As 0.000 1.549 2.582
As 0.000 2.841 0.000
As 0.000 4.132 2.582
As 2.755 0.000 0.000
As 2.755 1.291 2.582
As 2.755 4.390 2.582

---

8
Lattice="6.070 0.000 0.000 -3.035 5.257 0.000 0.000 0.000 5.095" Properties=species:S:1:pos:R:3 comment="MgAs3 (PBE, relaxed)" final_energy_ev_per_cell=-30.51 volume_a3_per_atom=20.3 m_tot_mub_per_fu=0.000 sg="No. 194" delta_e_f_mev_per_atom=72 pbc="T T T"
Mg 0.000 3.505 1.274
Mg 3.035 1.752 3.822
As 0.000 1.955 3.822
As -1.342 4.280 3.822
As 1.693 0.978 1.274
As 1.342 4.280 3.822
As 4.377 0.978 1.274
As 3.035 3.302 1.274

---

16
Lattice="8.562 0.000 0.000 0.000 16.981 0.000 0.000 0.000 3.636" Properties=species:S:1:pos:R:3 comment="MgAs3 (PBE, relaxed)" final_energy_ev_per_cell=-62.51 volume_a3_per_atom=33.0 m_tot_mub_per_fu=0.000 sg="No. 63" delta_e_f_mev_per_atom=-21 pbc="T T T"
Mg 0.000 3.442 0.909
Mg 0.000 13.538 2.727
Mg 4.281 5.048 2.727
Mg 4.281 11.933 0.909
As 0.000 0.750 0.909
As 0.000 16.230 2.727
As 2.064 5.153 0.909
As 2.064 11.827 2.727
As 2.217 3.337 2.727
As 2.217 13.644 0.909
As 4.281 7.740 2.727
As 4.281 9.241 0.909
As 6.345 3.337 2.727
As 6.345 13.644 0.909
As 6.498 5.153 0.909
As 6.498 11.827 2.727

---

18
Lattice="8.079 0.000 0.000 -4.040 6.997 0.000 0.000 0.000 6.672" Properties=species:S:1:pos:R:3 comment="Mg5As4 (PBE, relaxed)" final_energy_ev_per_cell=-60.24 volume_a3_per_atom=21.0 m_tot_mub_per_fu=0.000 sg="No. 193" delta_e_f_mev_per_atom=-394 de_polymorph_ev_per_atom=0.000 pbc="T T T"
Mg -1.010 1.749 1.668
Mg -3.030 5.248 5.004
Mg 2.019 0.000 1.668
Mg 1.010 1.749 5.004
Mg 0.000 4.665 0.000
Mg 0.000 4.665 3.336
Mg 4.040 2.332 0.000
Mg 4.040 2.332 3.336
Mg 6.060 0.000 5.004
Mg 3.030 5.248 1.668
As 0.000 0.000 0.000
As 0.000 0.000 3.336
As -1.734 3.004 5.004
As -2.306 3.993 1.668
As 3.468 0.000 5.004
As 1.734 3.004 1.668
As 4.611 0.000 1.668
As 2.306 3.993 5.004